No. 1
Here is Ba2PmF6 after structural relaxation from Alexandria via LeMat-Bulk. Energies are from PBE.

Unit cell a=4.149 b=6.407 c=7.393 alpha=115.68 beta=106.29 gamma=90.00
Last column: magnetic moment on the atom in μB.
Fractional coordinates of all 9 atoms:
Ba  0.654  0.654  0.308  0.09
Ba  0.346  0.346  0.692  0.09
Pm  0.000  0.000  0.000  0.09
F  0.159  0.370  0.318  0.01
F  0.841  0.052  0.682  0.01
F  0.841  0.630  0.682  0.01
F  0.500  0.195  0.000  0.01
F  0.159  0.948  0.318  0.01
F  0.500  0.805  0.000  0.01

Output
The calculation puts the total energy at -5.9194 eV/atom. As for the crystal system: orthorhombic.

***

No. 2
Here is LiS after structural relaxation from Alexandria via LeMat-Bulk. Energies are from PBE.

Unit cell a=5.660 b=7.596 c=7.250 alpha=90.00 beta=90.00 gamma=90.00
Fractional coordinates of all 16 atoms:
Li  0.053  0.127  0.470
Li  0.553  0.373  0.530
Li  0.947  0.627  0.030
Li  0.447  0.873  0.970
Li  0.329  0.672  0.329
Li  0.829  0.828  0.671
Li  0.671  0.172  0.171
Li  0.171  0.328  0.829
S  0.625  0.056  0.498
S  0.125  0.444  0.502
S  0.375  0.556  0.002
S  0.875  0.944  0.998
S  0.364  0.986  0.299
S  0.864  0.514  0.701
S  0.636  0.486  0.201
S  0.136  0.014  0.799

Output
The calculation puts the total energy at -3.8996 eV/atom. As for the crystal system: orthorhombic.

***

No. 3
Here is Sb2MoIrI after structural relaxation from Alexandria via LeMat-Bulk. Energies are from PBE.

Unit cell a=5.112 b=5.112 c=5.632 alpha=90.00 beta=90.00 gamma=90.00
Last column: magnetic moment on the atom in μB.
Fractional coordinates of all 5 atoms:
I  0.000  0.000  0.500  0.00
Sb  0.000  0.500  0.000  -0.12
Sb  0.500  0.000  0.000  -0.12
Mo  0.500  0.500  0.500  3.64
Ir  0.000  0.000  0.000  0.00

Output
The calculation puts the total energy at -4.7470 eV/atom. As for the crystal system: tetragonal.

***

No. 4
Here is Li2ZnAu after structural relaxation from Alexandria via LeMat-Bulk. Energies are from PBE.

Unit cell a=4.401 b=4.401 c=4.401 alpha=60.00 beta=60.00 gamma=60.00
Fractional coordinates of all 4 atoms:
Zn  0.750  0.750  0.750
Au  0.500  0.500  0.500
Li  0.000  0.000  0.000
Li  0.250  0.250  0.250

Output
The calculation puts the total energy at -2.5367 eV/atom. As for the crystal system: cubic. The value obtained for the energy of formation from the pure elements is -0.4420 eV/atom.

***

No. 5
Here is MnRhBr2 after structural relaxation from Alexandria via LeMat-Bulk. Energies are from PBE.

Unit cell a=3.381 b=5.989 c=4.071 alpha=90.00 beta=90.00 gamma=90.00
Last column: magnetic moment on the atom in μB.
Fractional coordinates of all 4 atoms:
Br  0.000  0.000  0.000  0.08
Br  0.500  0.500  0.000  0.04
Mn  0.500  0.000  0.500  4.19
Rh  0.000  0.500  0.500  0.36

Output
The calculation puts the total energy at -4.6438 eV/atom. As for the crystal system: orthorhombic.

***

No. 6
Here is Pr3Y2Tm4 after structural relaxation from Alexandria via LeMat-Bulk. Energies are from PBE.

Unit cell a=6.042 b=11.247 c=11.247 alpha=62.83 beta=64.21 gamma=64.21
Fractional coordinates of all 18 atoms:
Pr  0.755  0.058  0.273
Pr  0.745  0.727  0.942
Pr  0.245  0.942  0.727
Pr  0.255  0.273  0.058
Pr  0.250  0.613  0.387
Pr  0.750  0.387  0.613
Y  0.428  0.255  0.509
Y  0.072  0.491  0.745
Y  0.572  0.745  0.491
Y  0.928  0.509  0.255
Tm  0.422  0.921  0.180
Tm  0.078  0.820  0.079
Tm  0.578  0.079  0.820
Tm  0.922  0.180  0.921
Tm  0.089  0.146  0.414
Tm  0.411  0.586  0.854
Tm  0.911  0.854  0.586
Tm  0.589  0.414  0.146

Output
The calculation puts the total energy at -4.9140 eV/atom. As for the crystal system: monoclinic. The value obtained for the energy of formation from the pure elements is 0.1030 eV/atom.

***

No. 7
Here is CsLiTl2In after structural relaxation from Alexandria via LeMat-Bulk. Energies are from PBE.

Unit cell a=5.588 b=5.588 c=5.492 alpha=90.00 beta=90.00 gamma=90.00
Fractional coordinates of all 5 atoms:
Cs  0.500  0.500  0.500
Tl  0.000  0.500  0.000
Tl  0.500  0.000  0.000
Li  0.000  0.000  0.000
In  0.000  0.000  0.500

Output
The calculation puts the total energy at -2.0278 eV/atom. As for the crystal system: tetragonal. The value obtained for the energy of formation from the pure elements is 0.0199 eV/atom.

***

No. 8
Here is Ba2CaHfGa after structural relaxation from Alexandria via LeMat-Bulk. Energies are from PBE.

Unit cell a=6.297 b=5.427 c=6.297 alpha=90.00 beta=90.00 gamma=90.00
Fractional coordinates of all 5 atoms:
Ca  0.000  0.000  0.000
Hf  0.000  0.500  0.000
Ba  0.000  0.000  0.500
Ba  0.500  0.000  0.000
Ga  0.500  0.500  0.500

Output
The calculation puts the total energy at -2.6143 eV/atom. As for the crystal system: tetragonal. The value obtained for the energy of formation from the pure elements is 1.1512 eV/atom.

***

No. 9
Here is BeRe4Se after structural relaxation from Alexandria via LeMat-Bulk. Energies are from PBE.

Unit cell a=5.192 b=5.192 c=5.192 alpha=60.00 beta=60.00 gamma=60.00
Fractional coordinates of all 6 atoms:
Be  0.000  0.000  0.000
Re  0.874  0.375  0.375
Re  0.375  0.375  0.874
Re  0.375  0.874  0.375
Re  0.375  0.375  0.375
Se  0.750  0.750  0.750

Output
The calculation puts the total energy at -8.5556 eV/atom. As for the crystal system: cubic.

***

No. 10
Here is Pm2SmDyY6 after structural relaxation from Alexandria via LeMat-Bulk. Energies are from PBE.

Unit cell a=9.784 b=8.806 c=8.806 alpha=117.71 beta=94.88 gamma=94.88
Fractional coordinates of all 20 atoms:
Pm  0.456  0.806  0.706
Pm  0.044  0.294  0.194
Pm  0.544  0.194  0.294
Pm  0.956  0.706  0.806
Sm  0.250  0.981  0.019
Sm  0.750  0.019  0.981
Dy  0.250  0.407  0.593
Dy  0.750  0.593  0.407
Y  0.057  0.122  0.744
Y  0.443  0.256  0.878
Y  0.943  0.878  0.256
Y  0.557  0.744  0.122
Y  0.315  0.981  0.427
Y  0.185  0.573  0.019
Y  0.685  0.019  0.573
Y  0.815  0.427  0.981
Y  0.118  0.704  0.494
Y  0.382  0.506  0.296
Y  0.882  0.296  0.506
Y  0.618  0.494  0.704

Output
The calculation puts the total energy at -5.6476 eV/atom. As for the crystal system: monoclinic. The value obtained for the energy of formation from the pure elements is 0.1131 eV/atom.

***

No. 11
Here is BeSb2As after structural relaxation from Alexandria via LeMat-Bulk. Energies are from PBE.

Unit cell a=3.993 b=5.370 c=6.466 alpha=43.95 beta=90.00 gamma=90.00
Fractional coordinates of all 4 atoms:
Sb  0.000  0.831  0.971
Sb  0.000  0.669  0.529
As  0.500  0.250  0.250
Be  0.500  0.750  0.750

Output
The calculation puts the total energy at -3.8893 eV/atom. As for the crystal system: monoclinic.

***

No. 12
Here is Zn2In after structural relaxation from Alexandria via LeMat-Bulk. Energies are from PBE.

Unit cell a=5.458 b=5.458 c=5.458 alpha=60.00 beta=60.00 gamma=60.00
Fractional coordinates of all 6 atoms:
In  0.875  0.875  0.375
In  0.125  0.125  0.625
Zn  0.500  0.500  0.500
Zn  0.000  0.500  0.000
Zn  0.500  0.000  0.000
Zn  0.500  0.500  0.000

Output
The calculation puts the total energy at -1.6684 eV/atom. As for the crystal system: cubic. The value obtained for the energy of formation from the pure elements is 0.0937 eV/atom.

***

No. 13
Here is ScSiSbTe2 after structural relaxation from Alexandria via LeMat-Bulk. Energies are from PBE.

Unit cell a=5.234 b=5.234 c=5.177 alpha=90.00 beta=90.00 gamma=90.00
Fractional coordinates of all 5 atoms:
Sc  0.500  0.500  0.500
Sb  0.000  0.000  0.500
Si  0.000  0.000  0.000
Te  0.000  0.500  0.000
Te  0.500  0.000  0.000

Output
The calculation puts the total energy at -4.2102 eV/atom. As for the crystal system: tetragonal.

***

No. 14
Here is YHoSnHg after structural relaxation from Alexandria via LeMat-Bulk. Energies are from PBE.

Unit cell a=3.793 b=3.793 c=7.282 alpha=90.00 beta=90.00 gamma=90.00
Fractional coordinates of all 4 atoms:
Y  0.500  0.500  0.110
Ho  0.500  0.500  0.603
Sn  0.000  0.000  0.855
Hg  0.000  0.000  0.360

Output
The calculation puts the total energy at -4.4009 eV/atom. As for the crystal system: tetragonal. The value obtained for the energy of formation from the pure elements is -0.5643 eV/atom.

***

No. 15
Here is RbSr3Pa2N6 after structural relaxation from Alexandria via LeMat-Bulk. Energies are from PBE.

Unit cell a=3.728 b=7.440 c=8.363 alpha=101.08 beta=102.88 gamma=90.00
Fractional coordinates of all 12 atoms:
Rb  0.500  0.000  0.000
Sr  0.500  0.500  0.000
Sr  0.833  0.161  0.666
Sr  0.167  0.839  0.334
Pa  0.828  0.665  0.655
Pa  0.172  0.335  0.345
N  0.319  0.862  0.639
N  0.688  0.577  0.375
N  0.681  0.138  0.361
N  0.045  0.308  0.090
N  0.955  0.692  0.910
N  0.312  0.423  0.625

Output
The calculation puts the total energy at -7.2084 eV/atom. As for the crystal system: monoclinic.

***

No. 16
Here is YPuOs after structural relaxation from Alexandria via LeMat-Bulk. Energies are from PBE.

Unit cell a=3.564 b=3.564 c=5.998 alpha=107.28 beta=107.28 gamma=90.00
Last column: magnetic moment on the atom in μB.
Fractional coordinates of all 3 atoms:
Y  0.014  0.014  0.028  0.23
Os  0.687  0.687  0.373  -0.62
Pu  0.299  0.299  0.598  4.96

Output
The calculation puts the total energy at -10.6580 eV/atom. As for the crystal system: tetragonal. The value obtained for the energy of formation from the pure elements is 0.0173 eV/atom.

***

No. 17
Here is AgW after structural relaxation from Alexandria via LeMat-Bulk. Energies are from PBE.

Unit cell a=7.173 b=7.173 c=7.173 alpha=90.00 beta=90.00 gamma=90.00
Fractional coordinates of all 12 atoms:
Ag  0.250  0.500  0.000
Ag  0.750  0.500  0.000
Ag  0.500  0.000  0.250
Ag  0.500  0.000  0.750
Ag  0.000  0.250  0.500
Ag  0.000  0.750  0.500
W  0.250  0.000  0.500
W  0.750  0.000  0.500
W  0.000  0.500  0.250
W  0.000  0.500  0.750
W  0.500  0.250  0.000
W  0.500  0.750  0.000

Output
The calculation puts the total energy at -4.9329 eV/atom. As for the crystal system: cubic. The value obtained for the energy of formation from the pure elements is 2.9693 eV/atom.

***

No. 18
Here is Ho2Mg8Sc after structural relaxation from Alexandria via LeMat-Bulk. Energies are from PBE.

Unit cell a=4.678 b=4.678 c=13.168 alpha=90.00 beta=90.00 gamma=90.00
Fractional coordinates of all 11 atoms:
Ho  0.000  0.000  0.319
Ho  0.000  0.000  0.681
Mg  0.000  0.500  0.500
Mg  0.500  0.000  0.500
Mg  0.500  0.500  0.328
Mg  0.500  0.500  0.672
Mg  0.000  0.500  0.149
Mg  0.500  0.000  0.149
Mg  0.000  0.500  0.851
Mg  0.500  0.000  0.851
Sc  0.000  0.000  0.000

Output
The calculation puts the total energy at -2.4872 eV/atom. As for the crystal system: tetragonal. The value obtained for the energy of formation from the pure elements is 0.0804 eV/atom.

***

No. 19
Here is CrGa2CuSe6 after structural relaxation from Alexandria via LeMat-Bulk. Energies are from PBE.

Unit cell a=6.628 b=8.321 c=8.321 alpha=86.14 beta=80.56 gamma=80.56
Last column: magnetic moment on the atom in μB.
Fractional coordinates of all 20 atoms:
Cr  0.250  0.912  0.088  2.81
Cr  0.750  0.088  0.912  2.81
Ga  0.197  0.774  0.589  0.01
Ga  0.303  0.411  0.226  0.01
Ga  0.803  0.226  0.411  0.01
Ga  0.697  0.589  0.774  0.01
Cu  0.250  0.255  0.745  -0.13
Cu  0.750  0.745  0.255  -0.13
Se  0.124  0.976  0.809  -0.11
Se  0.376  0.191  0.024  -0.11
Se  0.876  0.024  0.191  -0.11
Se  0.624  0.809  0.976  -0.11
Se  0.389  0.901  0.353  -0.11
Se  0.111  0.647  0.099  -0.11
Se  0.611  0.099  0.647  -0.11
Se  0.889  0.353  0.901  -0.11
Se  0.867  0.722  0.531  -0.06
Se  0.633  0.469  0.278  -0.06
Se  0.133  0.278  0.469  -0.06
Se  0.367  0.531  0.722  -0.06

Output
The calculation puts the total energy at -4.4256 eV/atom. As for the crystal system: monoclinic.

***

No. 20
Here is Pm5Co2Os after structural relaxation from Alexandria via LeMat-Bulk. Energies are from PBE.

Unit cell a=7.288 b=7.288 c=8.897 alpha=114.18 beta=114.18 gamma=90.00
Fractional coordinates of all 16 atoms:
Pm  0.536  0.677  0.714
Pm  0.823  0.964  0.286
Pm  0.000  0.000  0.000
Pm  0.500  0.500  0.000
Pm  0.177  0.036  0.714
Pm  0.677  0.177  0.714
Pm  0.036  0.536  0.714
Pm  0.323  0.823  0.286
Pm  0.964  0.464  0.286
Pm  0.464  0.323  0.286
Co  0.110  0.390  0.000
Co  0.610  0.110  0.000
Co  0.390  0.890  0.000
Co  0.890  0.610  0.000
Os  0.750  0.750  0.500
Os  0.250  0.250  0.500

Output
The calculation puts the total energy at -6.2467 eV/atom. As for the crystal system: tetragonal. The value obtained for the energy of formation from the pure elements is -0.0974 eV/atom.

***

Number 1: DOS(E_F) 0.62 states/eV per cell, magnetization 0.11 μB/atom. Number 2: DOS(E_F) 0.00 states/eV per cell, magnetization 0.00 μB/atom. Number 3: DOS(E_F) 4.55 states/eV per cell, magnetization 0.80 μB/atom. Number 4: DOS(E_F) 0.86 states/eV per cell, magnetization 0.00 μB/atom. Number 5: DOS(E_F) 3.65 states/eV per cell, magnetization 1.24 μB/atom. Number 6: DOS(E_F) 27.03 states/eV per cell, magnetization 0.00 μB/atom. Number 7: DOS(E_F) 3.37 states/eV per cell, magnetization 0.00 μB/atom. Number 8: DOS(E_F) 7.99 states/eV per cell, magnetization 0.00 μB/atom. Number 9: DOS(E_F) 1.98 states/eV per cell, magnetization 0.00 μB/atom. Number 10: DOS(E_F) 29.90 states/eV per cell, magnetization 0.00 μB/atom. Number 11: DOS(E_F) 1.48 states/eV per cell, magnetization 0.00 μB/atom. Number 12: DOS(E_F) 2.97 states/eV per cell, magnetization 0.00 μB/atom. Number 13: DOS(E_F) 2.11 states/eV per cell, magnetization 0.00 μB/atom. Number 14: DOS(E_F) 2.21 states/eV per cell, magnetization 0.00 μB/atom. Number 15: DOS(E_F) 6.78 states/eV per cell, magnetization 0.00 μB/atom. Number 16: DOS(E_F) 5.57 states/eV per cell, magnetization 1.66 μB/atom. Number 17: DOS(E_F) 20.34 states/eV per cell, magnetization 0.00 μB/atom. Number 18: DOS(E_F) 10.07 states/eV per cell, magnetization 0.00 μB/atom. Number 19: DOS(E_F) 10.79 states/eV per cell, magnetization 0.22 μB/atom. Number 20: DOS(E_F) 12.33 states/eV per cell, magnetization 0.00 μB/atom.